Record 1
{
  "formula": "NbNiGeOs",
  "functional": "PBE",
  "state": "relaxed",
  "energy_ev_per_cell": -31.1,
  "lattice_angstrom": [[2.589, 2.672, 2.279], [-0.878, 0.839, 4.191], [2.577, -1.607, 3.133]],
  "species": ["Ni", "Ge", "Os", "Nb"],
  "fractional_positions": [[0.750, 0.750, 0.750], [0.000, 0.000, 0.000], [0.500, 0.500, 0.500], [0.250, 0.250, 0.250]]
}

=====

Record 2
{
  "formula": "MgCuTcOs",
  "functional": "PBE",
  "state": "relaxed",
  "energy_ev_per_cell": -26.3,
  "lattice_angstrom": [[-3.839, -0.266, 1.969], [-3.520, 1.641, -1.897], [-3.047, -2.642, -1.554]],
  "species": ["Os", "Tc", "Mg", "Cu"],
  "fractional_positions": [[0.000, 0.000, 0.000], [0.250, 0.250, 0.250], [0.500, 0.500, 0.500], [0.750, 0.750, 0.750]]
}

=====

Question: Which formula does entry 1 have?
Answer: NbNiGeOs